Compound: TbMgPt2
Source: Alexandria
Functional: GGA-PBE
Structure: optimized geometry

Summary:
Density of states at the Fermi level (states/eV/f.u.): 0.8
ΔH_f (0 K) (eV per atom): -1.027

Unit cell a=3.374 b=3.374 c=6.624 alpha=90.00 beta=90.00 gamma=90.00
Fractional positions:
1 Pt 0.000 0.000 0.773
2 Pt 0.000 0.000 0.227
3 Mg 0.500 0.500 0.000
4 Tb 0.500 0.500 0.500

Compound: Tb8Mg2Pt
Source: Alexandria
Functional: GGA-PBE
Structure: optimized geometry

Summary:
Density of states at the Fermi level (states/eV/f.u.): 11.3
ΔH_f (0 K) (eV per atom): -0.190

Unit cell a=5.440 b=7.063 c=9.241 alpha=109.65 beta=107.12 gamma=90.00
Fractional positions:
1 Tb 0.197 0.268 0.393
2 Tb 0.402 0.581 0.805
3 Tb 0.650 0.938 0.300
4 Tb 0.803 0.732 0.607
5 Tb 0.350 0.062 0.700
6 Tb 0.984 0.222 0.968
7 Tb 0.016 0.778 0.032
8 Tb 0.598 0.419 0.195
9 Pt 0.500 0.000 0.000
10 Mg 0.182 0.697 0.364
11 Mg 0.818 0.303 0.636

Compound: Tb3Mg7Pt4
Source: Alexandria
Functional: GGA-PBE
Structure: optimized geometry

Summary:
Density of states at the Fermi level (states/eV/f.u.): 8.1
ΔH_f (0 K) (eV per atom): -0.739

Unit cell a=4.192 b=8.343 c=9.302 alpha=73.09 beta=76.98 gamma=75.45
Fractional positions:
1 Tb 0.698 0.820 0.785
2 Tb 0.000 0.500 0.500
3 Tb 0.302 0.180 0.215
4 Mg 0.679 0.154 0.488
5 Mg 0.171 0.592 0.066
6 Mg 0.321 0.846 0.512
7 Mg 0.000 0.000 0.000
8 Mg 0.514 0.767 0.206
9 Mg 0.486 0.233 0.794
10 Mg 0.829 0.408 0.934
11 Pt 0.112 0.092 0.684
12 Pt 0.888 0.908 0.316
13 Pt 0.337 0.571 0.754
14 Pt 0.663 0.429 0.246

Compound: Tb2MgZn3Pt4
Source: Alexandria
Functional: GGA-PBE
Structure: optimized geometry

Summary:
Density of states at the Fermi level (states/eV/f.u.): 4.3
ΔH_f (0 K) (eV per atom): -0.803

Unit cell a=4.035 b=4.035 c=11.542 alpha=90.00 beta=90.00 gamma=90.00
Fractional positions:
1 Tb 0.500 0.000 0.240
2 Tb 0.000 0.500 0.760
3 Mg 0.500 0.500 0.500
4 Zn 0.000 0.000 0.500
5 Zn 0.000 0.500 0.134
6 Zn 0.500 0.000 0.866
7 Pt 0.500 0.000 0.651
8 Pt 0.000 0.000 0.000
9 Pt 0.000 0.500 0.349
10 Pt 0.500 0.500 0.000

M_tot (computed, μB per cell): 0.00; 0.00; 0.00; 0.00
Density (computed, Mg/m³): 12.629; 7.920; 7.975; 11.650